An optimized crystal structure of Tm8As3PPb4, computed with PBE.

Computed properties:
Fermi-level density of states = 0.384 states/eV/atom
total moment = 0.0 μB per cell
total DFT energy (no corrections) = -85.4 eV for the cell shown

a = 7.9162 Å, b = 8.9968 Å, c = 7.9093 Å
α = 115.99°, β = 120.03°, γ = 90.00°
Last column: nearest neighbours and their distance in Å.
Fractional positions:
Pb (0.0000, 0.0000, 0.0000)  6 Tm 3.21-3.22
Pb (0.5000, 0.0000, 0.5000)  6 Tm 3.21-3.22
Tm (0.7404, 0.7053, 0.9727)  1 P 2.75, 2 As 2.80
Tm (0.2638, 0.2908, 0.5276)  3 As 2.80
Tm (0.7678, 0.2946, 0.5356)  1 P 2.75, 2 As 2.80
As (0.0000, 0.5000, 0.5000)  6 Tm 2.80
Tm (0.7362, 0.7092, 0.4724)  3 As 2.80
Pb (0.0000, 0.0000, 0.5000)  6 Tm 3.21-3.22
Pb (0.5000, 0.0000, 0.0000)  6 Tm 3.26
As (0.5000, 0.5000, 0.0000)  6 Tm 2.80
Tm (0.2322, 0.7054, 0.4644)  1 P 2.75, 2 As 2.80
P (0.0000, 0.5000, 0.0000)  6 Tm 2.75
Tm (0.2596, 0.2947, 0.0273)  1 P 2.75, 2 As 2.80
Tm (0.2323, 0.7053, 0.9727)  1 P 2.75, 2 As 2.80
Tm (0.7677, 0.2947, 0.0273)  1 P 2.75, 2 As 2.80
As (0.5000, 0.5000, 0.5000)  6 Tm 2.80